## MgBeInH6 (PBE-GGA)

Data for MgBeInH6 after structural relaxation.

Cell: 4.5743 4.5743 4.8044 Å, 90.00 90.00 120.00°
Last column: nearest neighbours and their distance in Å.
Atoms (fractional coordinates):
Mg (0.0000, 0.0000, 0.0000)  6 H 1.94
Be (0.3333, 0.6667, 0.0000)  6 H 1.63
In (0.6667, 0.3333, 0.5000)  6 H 2.16
H (0.0440, 0.3855, 0.2039)  1 Be 1.63
H (0.0440, 0.6585, 0.7961)  1 Be 1.63
H (0.3415, 0.3855, 0.7961)  1 Be 1.63
H (0.3415, 0.9560, 0.2039)  1 Be 1.63
H (0.6145, 0.6585, 0.2039)  1 Be 1.63
H (0.6145, 0.9560, 0.7961)  1 Be 1.63

Symmetry = P312


## MnBe2InH (PBE-GGA)

Data for MnBe2InH after structural relaxation.

Cell: 4.7346 4.7346 3.4691 Å, 90.00 90.00 90.00°
Last column: nearest neighbours and their distance in Å.
Atoms (fractional coordinates):
Mn (0.0000, 0.0000, 0.0000)  8 Be 2.93
Be (0.0000, 0.5000, 0.5000)  2 In 2.37
Be (0.5000, 0.0000, 0.5000)  2 In 2.37
In (0.5000, 0.5000, 0.5000)  2 H 1.73
H (0.5000, 0.5000, 0.0000)  2 In 1.73

Symmetry = P4/mmm


## Be2InMoH (PBE-GGA)

Data for Be2InMoH after structural relaxation.

Cell: 3.8726 3.8726 3.9005 Å, 90.00 90.00 90.00°
Last column: nearest neighbours and their distance in Å.
Atoms (fractional coordinates):
Be (0.0000, 0.5000, 0.0000)  2 H 1.94
Be (0.5000, 0.0000, 0.0000)  2 H 1.94
In (0.0000, 0.0000, 0.5000)  2 H 1.95
Mo (0.5000, 0.5000, 0.5000)  4 In 2.74, 8 Be 2.75
H (0.0000, 0.0000, 0.0000)  4 Be 1.94, 2 In 1.95

Symmetry = P4/mmm


Fermi-level density of states per entry: 1.62, 1.76, 0.46 states/eV/f.u.
Uncorrected energy per entry: -3.0060, -3.4287, -4.3917 eV per atom